(1)
Computed, not measured: an optimized crystal structure of BaCu2Te2Cl2O6 at the GGA-PBEsol level of DFT.

Calculated values
The value obtained for the density is 5.11 g/cm³. The volume comes out at 222.9 Å³/f.u. For the uncorrected energy, the calculation gives -5.33 eV per atom. The raw formation energy comes out at -28.18 kcal/mol of atoms. The space-group type is P2_1 (4). The value obtained for the density of states at the Fermi level is 0.1695 states/eV per atom.

The structure in POSCAR format:
```
BaCu2Te2Cl2O6
1.0
7.405 0.000 0.000
0.000 7.379 0.000
-1.081 0.000 8.157
Ba Cu Te Cl O
2 4 4 4 12
Cartesian
0.938 0.000 0.536 Ba
5.387 3.690 7.621 Ba
1.693 0.171 4.852 Cu
2.558 3.665 0.708 Cu
3.766 7.354 7.449 Cu
4.631 3.861 3.305 Cu
0.547 2.733 3.222 Te
1.704 4.746 6.214 Te
4.621 1.056 1.943 Te
5.777 6.422 4.935 Te
0.009 1.912 6.157 Cl
2.935 5.382 3.143 Cl
3.390 1.692 5.014 Cl
6.316 5.602 2.000 Cl
0.261 6.190 5.136 O
0.929 2.859 1.359 O
0.953 0.883 3.232 O
0.456 4.878 7.676 O
2.541 6.491 6.222 O
3.465 0.422 0.544 O
2.859 4.112 7.613 O
3.784 2.801 1.935 O
5.869 1.188 0.481 O
5.372 4.572 4.925 O
5.396 6.548 6.798 O
6.063 2.501 3.021 O
```


(2)
Computed, not measured: an optimized crystal structure of SrTa3As at the GGA-PBEsol level of DFT.

Calculated values
The value obtained for the energy relative to the elements is 2.924 eV per atom. The value obtained for the density is 10.46 g/cm³. The volume comes out at 112.0 Å³/f.u. For the uncorrected energy, the calculation gives -6.00 eV per atom. The space-group type is Pm-3m (221). The value obtained for the density of states at the Fermi level is 0.8296 states/eV per atom.

The structure in POSCAR format:
```
SrTa3As
1.0
4.820 0.000 0.000
0.000 4.820 0.000
0.000 0.000 4.820
Sr Ta As
1 3 1
Cartesian
0.000 0.000 0.000 Sr
0.000 0.000 2.410 Ta
0.000 2.410 0.000 Ta
2.410 0.000 0.000 Ta
2.410 2.410 2.410 As
```


(3)
Computed, not measured: an optimized crystal structure of SmAl7Au3 at the GGA-PBEsol level of DFT.

Calculated values
The value obtained for the energy relative to the elements is -0.559 eV per atom. The value obtained for the density is 7.90 g/cm³. The volume comes out at 195.6 Å³/f.u. For the uncorrected energy, the calculation gives -4.70 eV per atom. The space-group type is R-3c (167). The value obtained for the density of states at the Fermi level is 0.1954 states/eV per atom.

The structure in POSCAR format:
```
SmAl7Au3
1.0
4.018 2.320 6.995
-4.018 2.320 6.995
0.000 -4.639 6.995
Sm Al Au
2 14 6
Cartesian
0.000 0.000 0.000 Sm
0.000 0.000 10.493 Sm
-3.142 -0.951 11.123 Al
-0.748 -3.197 9.863 Al
-0.748 -1.443 7.626 Al
0.000 0.000 5.247 Al
-2.394 2.246 9.863 Al
-0.876 1.369 7.626 Al
-1.623 -0.074 13.361 Al
1.623 0.074 7.626 Al
0.876 -1.369 13.361 Al
2.394 -2.246 11.123 Al
0.000 0.000 15.740 Al
0.748 1.443 13.361 Al
0.748 3.197 11.123 Al
3.142 0.951 9.863 Al
-2.721 -0.074 8.744 Au
-1.296 -2.394 12.242 Au
1.425 -2.320 8.744 Au
-1.425 2.320 12.242 Au
1.296 2.394 8.744 Au
2.721 0.074 12.242 Au
```


(4)
Computed, not measured: an optimized crystal structure of Y3CdSi at the GGA-PBEsol level of DFT.

Calculated values
The value obtained for the density is 4.47 g/cm³. The volume comes out at 151.2 Å³/f.u. For the uncorrected energy, the calculation gives -5.60 eV per atom. The raw formation energy comes out at -2.80 kcal/mol of atoms. The space-group type is Pm-3m (221). The value obtained for the density of states at the Fermi level is 1.7061 states/eV per atom.

The structure in POSCAR format:
```
Y3CdSi
1.0
5.328 0.000 0.000
0.000 5.328 0.000
0.000 0.000 5.328
Y Cd Si
3 1 1
Cartesian
0.000 0.000 2.664 Y
0.000 2.664 0.000 Y
2.664 0.000 0.000 Y
2.664 2.664 2.664 Cd
0.000 0.000 0.000 Si
```


Q: uncorrected energy of number 4 (Y3CdSi)?
A: -5.60 eV per atom


Q: Among the records above, which one has the lowest uncorrected energy?
A: SrTa3As


Q: Which value of uncorrected energy does entry 2 give?
A: -6.00 eV per atom


Q: Which value of density does entry 3 give?
A: 7.90 g/cm³